<a>
{
  "formula": "Nd6DyTl5",
  "functional": "PBE",
  "state": "relaxed",
  "crystal_system": "monoclinic",
  "magmom_total_mub_per_cell": 0.0,
  "lattice_angstrom": [[6.365, 0.167, 0.000], [2.164, 10.341, 0.000], [1.082, 5.170, 5.859]],
  "species": ["Tl", "Tl", "Nd", "Nd", "Tl", "Nd", "Dy", "Tl", "Nd", "Tl", "Nd", "Nd"],
  "frac_coords": [[0.500, 0.500, 0.000], [0.000, 0.289, 0.422], [0.730, 0.095, 0.365], [0.212, 0.283, 0.000], [0.000, 0.711, 0.578], [0.730, 0.460, 0.635], [0.000, 0.000, 0.000], [0.500, 0.868, 0.265], [0.788, 0.717, 0.000], [0.500, 0.132, 0.735], [0.270, 0.540, 0.365], [0.270, 0.905, 0.635]]
}

***

<b>
{
  "formula": "Nd6DyTl5",
  "functional": "PBE",
  "state": "relaxed",
  "crystal_system": "orthorhombic",
  "magmom_total_mub_per_cell": 0.0,
  "lattice_angstrom": [[4.904, 0.020, -1.431], [-1.251, 8.017, -4.175], [0.070, -0.310, 9.355]],
  "species": ["Nd", "Nd", "Dy", "Tl", "Nd", "Nd", "Tl", "Nd", "Tl", "Tl", "Nd", "Tl"],
  "frac_coords": [[0.171, 0.910, 0.343], [0.500, 0.267, 0.000], [0.000, 0.000, 0.000], [0.000, 0.500, 0.000], [0.829, 0.568, 0.657], [0.171, 0.432, 0.343], [0.649, 0.149, 0.299], [0.829, 0.090, 0.657], [0.326, 0.326, 0.653], [0.351, 0.851, 0.701], [0.500, 0.733, 0.000], [0.674, 0.674, 0.347]]
}

***

Most favorable structure: <b>. The second most favorable one is 0.110 eV/atom above it.

***

<a>
{
  "formula": "Nd4DyTl",
  "functional": "PBE",
  "state": "relaxed",
  "crystal_system": "monoclinic",
  "magmom_total_mub_per_cell": 0.0,
  "lattice_angstrom": [[6.571, -0.747, 0.000], [-2.617, 8.806, 0.000], [-1.977, -4.030, 7.207]],
  "species": ["Nd", "Nd", "Nd", "Dy", "Nd", "Tl", "Dy", "Nd", "Tl", "Nd", "Nd", "Nd"],
  "frac_coords": [[0.758, 0.713, 0.620], [0.242, 0.287, 0.380], [0.045, 0.168, 0.762], [0.339, 0.589, 0.178], [0.361, 0.907, 0.620], [0.251, 0.001, 0.002], [0.661, 0.411, 0.822], [0.639, 0.093, 0.380], [0.749, 0.999, 0.998], [0.216, 0.594, 0.762], [0.955, 0.832, 0.238], [0.784, 0.406, 0.238]]
}

***

<b>
{
  "formula": "Nd4DyTl",
  "functional": "PBE",
  "state": "relaxed",
  "crystal_system": "tetragonal",
  "magmom_total_mub_per_cell": 0.0,
  "lattice_angstrom": [[-3.048, 1.766, -1.077], [-0.591, -2.582, -2.560], [-7.855, -7.707, 9.589]],
  "species": ["Nd", "Nd", "Nd", "Tl", "Dy", "Nd"],
  "frac_coords": [[0.500, 0.500, 0.827], [0.500, 0.500, 0.173], [0.000, 0.000, 0.649], [0.500, 0.500, 0.500], [0.000, 0.000, 0.000], [0.000, 0.000, 0.351]]
}

***

Most favorable structure: <b>. The second most favorable one is 0.079 eV/atom above it.

***

<a>
{
  "formula": "Nd3Dy2Tl4",
  "functional": "PBE",
  "state": "relaxed",
  "crystal_system": "orthorhombic",
  "magmom_total_mub_per_cell": 0.0,
  "lattice_angstrom": [[-6.905, 2.561, -0.406], [-3.489, -9.045, 2.288], [3.685, 0.546, 7.777]],
  "species": ["Nd", "Tl", "Dy", "Tl", "Dy", "Tl", "Dy", "Nd", "Tl", "Tl", "Tl", "Tl", "Nd", "Nd", "Nd", "Nd", "Tl", "Dy"],
  "frac_coords": [[0.533, 0.750, 0.566], [0.198, 0.978, 0.396], [0.605, 0.949, 0.209], [0.302, 0.478, 0.604], [0.105, 0.551, 0.209], [0.244, 0.750, 0.987], [0.395, 0.051, 0.791], [0.967, 0.250, 0.434], [0.698, 0.522, 0.396], [0.256, 0.250, 0.013], [0.802, 0.022, 0.604], [0.744, 0.750, 0.987], [0.033, 0.750, 0.566], [0.467, 0.250, 0.434], [0.000, 0.000, 0.000], [0.500, 0.500, 0.000], [0.756, 0.250, 0.013], [0.895, 0.449, 0.791]]
}

***

<b>
{
  "formula": "Nd3Dy2Tl4",
  "functional": "PBE",
  "state": "relaxed",
  "crystal_system": "trigonal",
  "magmom_total_mub_per_cell": 0.0,
  "lattice_angstrom": [[5.395, 0.000, 0.000], [2.697, 4.635, 0.590], [0.000, -1.330, 10.470]],
  "species": ["Nd", "Tl", "Tl", "Tl", "Nd", "Tl", "Dy", "Nd", "Dy"],
  "frac_coords": [[0.667, 0.667, 0.579], [0.667, 0.667, 0.898], [0.000, 0.000, 0.343], [0.333, 0.333, 0.102], [0.000, 0.000, 0.000], [0.000, 0.000, 0.657], [0.667, 0.667, 0.221], [0.333, 0.333, 0.421], [0.333, 0.333, 0.779]]
}

***

Most favorable structure: <b>. The second most favorable one is 0.120 eV/atom above it.

***

<a>
{
  "formula": "Nd8Dy2Tl",
  "functional": "PBE",
  "state": "relaxed",
  "crystal_system": "orthorhombic",
  "magmom_total_mub_per_cell": 0.0,
  "lattice_angstrom": [[5.378, 0.000, -1.633], [-0.944, 6.990, -3.109], [0.102, 0.215, 10.008]],
  "species": ["Dy", "Nd", "Nd", "Nd", "Nd", "Dy", "Nd", "Nd", "Tl", "Nd", "Nd"],
  "frac_coords": [[0.192, 0.692, 0.385], [0.180, 0.180, 0.359], [0.000, 0.261, 0.000], [0.637, 0.865, 0.275], [0.000, 0.739, 0.000], [0.808, 0.308, 0.615], [0.820, 0.820, 0.641], [0.363, 0.135, 0.725], [0.500, 0.000, 0.000], [0.637, 0.410, 0.275], [0.363, 0.590, 0.725]]
}

***

<b>
{
  "formula": "Nd8Dy2Tl",
  "functional": "PBE",
  "state": "relaxed",
  "crystal_system": "monoclinic",
  "magmom_total_mub_per_cell": 0.0,
  "lattice_angstrom": [[-3.395, -3.728, -0.537], [4.487, -3.227, -5.958], [4.737, -2.025, 8.055]],
  "species": ["Nd", "Nd", "Nd", "Dy", "Nd", "Nd", "Dy", "Tl", "Nd", "Nd", "Nd"],
  "frac_coords": [[0.409, 0.557, 0.818], [0.955, 0.274, 0.910], [0.591, 0.443, 0.182], [0.225, 0.633, 0.449], [0.863, 0.820, 0.726], [0.321, 0.091, 0.641], [0.775, 0.367, 0.551], [0.500, 0.000, 0.000], [0.137, 0.180, 0.274], [0.045, 0.726, 0.090], [0.679, 0.909, 0.359]]
}

***

Most favorable structure: <b>. The second most favorable one is 0.065 eV/atom above it.